VASP calculation (PBE) on a relaxed structure of ScCr3.

For the calculated formation energy, the calculation gives 0.515 eV/atom.

Structure (POSCAR):
```
ScCr3
1.0
-1.562 1.748 4.522
-2.376 -3.786 -2.442
1.470 -1.665 1.151
Cr Sc
3 1
Cartesian
0.000 0.000 0.000 Cr
-0.046 0.041 2.837 Cr
-0.453 -2.726 -0.646 Cr
-1.969 -1.019 1.040 Sc
```



VASP calculation (PBE) on a relaxed structure of Y2In3Ag.

For the calculated formation energy, the calculation gives -0.431 eV/atom.

Structure (POSCAR):
```
Y2In3Ag
1.0
-5.796 1.738 -0.345
0.886 -4.294 -4.185
0.336 -4.672 7.920
Ag In Y
2 6 4
Cartesian
-3.167 -3.276 -0.366 Ag
-1.408 -3.952 3.757 Ag
-0.717 -2.011 1.912 In
-3.858 -5.217 1.479 In
-0.124 -6.411 3.752 In
-1.182 -3.768 -2.240 In
-4.451 -0.817 -0.361 In
-3.393 -3.460 5.631 In
-3.670 -1.911 -3.386 Y
-1.240 -0.646 -1.144 Y
-3.958 -2.106 2.656 Y
-0.617 -5.122 0.735 Y
```



VASP calculation (PBE) on a relaxed structure of AgSb2Br.

For the uncorrected formation energy, the calculation gives 89 meV per atom.

Structure (POSCAR):
```
AgSb2Br
1.0
5.177 0.213 0.557
-2.178 4.677 0.650
0.822 1.845 4.816
Ag Br Sb
1 1 2
Cartesian
-0.678 3.261 2.733 Ag
1.500 2.445 0.603 Br
0.000 0.000 0.000 Sb
2.999 1.029 2.686 Sb
```



VASP calculation (PBE) on a relaxed structure of Rb2HgTe2.

For the uncorrected formation energy, the calculation gives -414 meV per atom.

Structure (POSCAR):
```
Rb2HgTe2
1.0
4.603 0.000 0.000
0.000 4.603 0.000
2.302 2.302 10.536
Te Hg Rb
2 1 2
Cartesian
4.603 2.302 5.268 Te
2.302 4.603 5.268 Te
0.000 0.000 0.000 Hg
4.603 4.603 8.115 Rb
2.302 2.302 2.421 Rb
```



VASP calculation (PBE) on a relaxed structure of MnCdIn2.

For the calculated formation energy, the calculation gives 0.177 eV/atom.

Structure (POSCAR):
```
MnCdIn2
1.0
-2.118 -2.300 0.332
0.101 -0.539 -3.096
6.537 -5.841 1.231
Cd Mn In
1 1 2
Cartesian
3.639 -5.572 -0.507 Cd
3.278 -2.929 0.617 Mn
0.912 -3.135 -1.021 In
6.498 -5.806 1.223 In
```



VASP calculation (PBE) on a relaxed structure of Pm4Ho7Cd.

For the calculated formation energy, the calculation gives -0.016 eV/atom.

Structure (POSCAR):
```
Pm4Ho7Cd
1.0
-0.891 -1.704 -3.015
3.384 1.019 0.545
6.596 -29.901 14.947
Cd Ho Pm
1 7 4
Cartesian
3.298 -14.951 7.474 Cd
5.999 -25.571 10.556 Ho
4.316 -17.939 6.741 Ho
4.774 -12.647 5.736 Ho
1.682 -7.624 3.811 Ho
0.000 0.000 0.000 Ho
4.914 -22.277 11.136 Ho
3.090 -5.016 1.921 Ho
1.099 -3.356 -0.549 Pm
2.785 -10.999 3.272 Pm
7.991 -27.231 13.026 Pm
6.305 -19.587 9.205 Pm
```



VASP calculation (PBE) on a relaxed structure of BaRe2SiPd.

For the uncorrected formation energy, the calculation gives 1537 meV per atom.

Structure (POSCAR):
```
BaRe2SiPd
1.0
5.114 0.000 0.000
0.000 4.550 0.000
0.000 0.000 5.114
Si Re Pd Ba
1 2 1 1
Cartesian
0.000 2.275 0.000 Si
2.557 0.000 0.000 Re
0.000 0.000 2.557 Re
0.000 0.000 0.000 Pd
2.557 2.275 2.557 Ba
```



VASP calculation (PBE) on a relaxed structure of Th6Tl2Au.

For the calculated formation energy, the calculation gives -0.058 eV/atom.

Structure (POSCAR):
```
Th6Tl2Au
1.0
-0.053 -5.929 1.723
5.292 -1.995 -6.700
8.207 1.666 5.985
Th Au Tl
12 2 4
Cartesian
2.095 -1.023 -1.676 Th
5.460 -0.554 0.622 Th
6.868 -6.790 -3.717 Th
7.981 -3.369 -2.066 Th
4.806 -4.153 -0.393 Th
6.578 0.533 4.725 Th
11.350 -5.234 2.684 Th
5.464 -2.888 3.074 Th
4.818 -3.915 -4.621 Th
8.639 -2.104 1.401 Th
8.627 -2.342 5.629 Th
7.985 -5.703 0.386 Th
4.103 0.833 2.993 Au
2.619 -3.962 -2.489 Au
2.712 -2.180 1.350 Tl
10.733 -4.077 -0.342 Tl
8.106 -4.808 3.537 Tl
5.340 -1.449 -2.529 Tl
```



VASP calculation (PBE) on a relaxed structure of Sr16LiMg12.

For the calculated formation energy, the calculation gives 0.001 eV/atom.

Structure (POSCAR):
```
Sr16LiMg12
1.0
-3.606 2.700 -10.000
7.197 -8.159 -1.386
-9.470 -3.312 7.701
Sr Mg Li
16 12 1
Cartesian
-0.905 -9.392 0.132 Sr
-2.159 -6.040 1.288 Sr
-2.041 -3.300 -1.601 Sr
-7.436 -2.827 -5.076 Sr
-8.794 -4.922 0.608 Sr
-3.417 -2.047 -5.366 Sr
-5.892 -2.288 -1.688 Sr
-1.707 -4.636 -8.038 Sr
0.905 -7.261 -5.955 Sr
-3.156 -7.796 -5.871 Sr
4.480 -5.180 -0.908 Sr
-0.110 -0.085 0.032 Sr
-6.253 -7.476 2.634 Sr
-5.013 -3.448 1.940 Sr
0.844 -6.330 -1.968 Sr
-2.294 1.629 -6.309 Sr
-2.885 -8.955 3.505 Mg
-5.366 -6.010 -0.847 Mg
-1.623 -2.581 2.135 Mg
1.712 -2.625 -2.135 Mg
-0.290 -0.613 -3.731 Mg
-3.107 0.445 -2.492 Mg
-3.644 -0.549 0.524 Mg
-4.780 -5.184 -3.861 Mg
1.765 -4.867 -8.350 Mg
-9.620 -2.185 -1.865 Mg
1.081 -3.765 0.847 Mg
-2.779 -7.196 -2.265 Mg
-0.350 -4.002 -4.606 Li
```



no.,total magnetic moment (μB/f.u.),DOS(E_F) (states/eV per atom),ρ (g cm⁻³)
1,0.00,0.8024,6.097
2,0.00,0.6980,7.052
3,0.00,0.4600,6.609
4,0.00,0.5533,4.661
5,3.55,0.5259,7.533
6,0.00,1.1875,8.128
7,4.73,1.3596,8.990
8,0.00,1.2728,11.908
9,0.00,0.9826,2.477